Here is PrSb3 after structural relaxation from Alexandria via LeMat-Bulk. Energies are from PBE.

## Properties
**Crystal system**: orthorhombic
**Formation energy from raw total energies**: -0.503 eV per atom
**ΔE to the lowest computed polymorph**: 11 meV/atom

```
data_PrSb3
_chemical_formula_sum 'Pr1 Sb3'
_space_group_name_H-M_alt 'P m m 2'
_space_group_IT_number 25
_space_group_name_Hall 'P 2 -2'
_cell_length_a 4.433
_cell_length_b 6.286
_cell_length_c 4.658
_cell_angle_alpha 90.00
_cell_angle_beta 90.00
_cell_angle_gamma 90.00
loop_
_atom_site_label
_atom_site_fract_x
_atom_site_fract_y
_atom_site_fract_z
Pr1 0.000 0.000 0.000
Sb1 0.000 0.500 0.854
Sb2 0.500 0.000 0.485
Sb3 0.500 0.500 0.278
```



Here is Pm4HPb2 after structural relaxation from Alexandria via LeMat-Bulk. Energies are from PBE.

## Properties
**Crystal system**: tetragonal
**ΔE to the lowest computed polymorph**: 0 meV/atom

```
data_Pm4HPb2
_chemical_formula_sum 'Pm8 H2 Pb4'
_space_group_name_H-M_alt 'I 4/m m m'
_space_group_IT_number 139
_space_group_name_Hall '-I 4 2'
_cell_length_a 4.692
_cell_length_b 4.692
_cell_length_c 17.586
_cell_angle_alpha 90.00
_cell_angle_beta 90.00
_cell_angle_gamma 90.00
loop_
_atom_site_label
_atom_site_fract_x
_atom_site_fract_y
_atom_site_fract_z
Pm1 0.000 0.000 0.178
Pm2 0.000 0.500 0.000
H1 0.000 0.000 0.000
Pb1 0.000 0.000 0.362
```



Here is La4FeBr2Cl after structural relaxation from Alexandria via LeMat-Bulk. Energies are from PBE.

## Properties
**Crystal system**: monoclinic
**Formation energy from raw total energies**: -1.043 eV per atom

```
data_La4FeBr2Cl
_chemical_formula_sum 'La4 Fe1 Br2 Cl1'
_space_group_name_H-M_alt 'P 1 2/m 1'
_space_group_IT_number 10
_space_group_name_Hall '-P 2y'
_cell_length_a 7.522
_cell_length_b 4.004
_cell_length_c 7.996
_cell_angle_alpha 90.00
_cell_angle_beta 107.31
_cell_angle_gamma 90.00
loop_
_atom_site_label
_atom_site_fract_x
_atom_site_fract_y
_atom_site_fract_z
La1 0.202 0.000 0.194
La2 0.246 0.500 0.784
Fe1 0.000 0.500 0.000
Br1 0.000 0.000 0.500
Br2 0.500 0.500 0.500
Cl1 0.500 0.000 0.000
```



Here is TaRuN after structural relaxation from Alexandria via LeMat-Bulk. Energies are from PBE.

## Properties
**Crystal system**: orthorhombic
**Formation energy from raw total energies**: -0.519 eV per atom
**ΔE to the lowest computed polymorph**: 21 meV/atom

```
data_TaRuN
_chemical_formula_sum 'Ta2 Ru2 N2'
_space_group_name_H-M_alt 'P m m a'
_space_group_IT_number 51
_space_group_name_Hall '-P 2a 2a'
_cell_length_a 5.073
_cell_length_b 2.927
_cell_length_c 5.000
_cell_angle_alpha 90.00
_cell_angle_beta 90.00
_cell_angle_gamma 90.00
loop_
_atom_site_label
_atom_site_fract_x
_atom_site_fract_y
_atom_site_fract_z
Ta1 0.250 0.000 0.185
Ru1 0.250 0.500 0.638
N1 0.000 0.500 0.000
```



Going through the records in order, we get ρ values of 6.48, 8.54, 5.83, 13.24 g cm⁻³.